(1)
Below is a relaxed structure of SrAl9Ag4, with properties calculated at the PBE level.

Summary:
DFT formation energy (eV/atom): -0.10

Geometry as POSCAR:
```
SrAl9Ag4
1.0
-4.4577 4.4577 6.7126
4.4577 -4.4577 6.7126
4.4577 4.4577 -6.7126
Sr Al Ag
2 18 8
Direct
0.2500 0.2500 0.0000
0.7500 0.7500 0.0000
0.0000 0.5000 0.5000
0.0560 0.5560 0.2559
0.0677 0.7960 0.8636
0.1999 0.9440 0.5000
0.2040 0.0677 0.2717
0.2960 0.5677 0.8636
0.3001 0.8001 0.7441
0.4323 0.2960 0.7283
0.4440 0.6999 0.5000
0.5000 0.0000 0.5000
0.5560 0.3001 0.5000
0.5677 0.7040 0.2717
0.6999 0.1999 0.2559
0.7040 0.4323 0.1364
0.7960 0.9323 0.7283
0.8001 0.0560 0.5000
0.9323 0.2040 0.1364
0.9440 0.4440 0.7441
0.0484 0.1994 0.5000
0.1994 0.6994 0.1511
0.3006 0.4516 0.5000
0.4516 0.9516 0.1511
0.5484 0.0484 0.8489
0.6994 0.5484 0.5000
0.8006 0.3006 0.8489
0.9516 0.8006 0.5000
```

(2)
Below is a relaxed structure of Ho6MnBi2, with properties calculated at the PBE level.

Summary:
DFT formation energy (eV/atom): -0.41

Geometry as POSCAR:
```
Ho6MnBi2
1.0
8.2831 0.0000 0.0000
-4.1416 7.1734 0.0000
0.0000 0.0000 4.2673
Ho Mn Bi
6 1 2
Direct
0.0000 0.2329 0.0000
0.0000 0.6085 0.5000
0.2329 0.0000 0.0000
0.3915 0.3915 0.5000
0.6085 0.0000 0.5000
0.7671 0.7671 0.0000
0.0000 0.0000 0.5000
0.3333 0.6667 0.0000
0.6667 0.3333 0.0000
```

(3)
Below is a relaxed structure of TiZn3Au4, with properties calculated at the PBE level.

Summary:
DFT formation energy (eV/atom): -0.26

Geometry as POSCAR:
```
TiZn3Au4
1.0
4.5365 0.0000 0.0000
0.0000 4.5365 0.0000
0.0000 0.0000 6.4218
Ti Zn Au
1 3 4
Direct
0.0000 0.0000 0.0000
0.0000 0.0000 0.5000
0.5000 0.5000 0.0000
0.5000 0.5000 0.5000
0.0000 0.5000 0.2496
0.0000 0.5000 0.7504
0.5000 0.0000 0.2496
0.5000 0.0000 0.7504
```

(4)
Below is a relaxed structure of Sm2DyCu3, with properties calculated at the PBE level.

Summary:
DFT formation energy (eV/atom): -0.21
Distance to the lowest polymorph of the same formula (meV per atom): 0

Geometry as POSCAR:
```
Sm2DyCu3
1.0
3.5109 0.0000 0.0000
0.0000 3.5109 0.0000
0.0000 0.0000 10.5946
Sm Dy Cu
2 1 3
Direct
0.0000 0.0000 0.1693
0.0000 0.0000 0.8307
0.0000 0.0000 0.5000
0.5000 0.5000 0.0000
0.5000 0.5000 0.3424
0.5000 0.5000 0.6576
```

(5)
Below is a relaxed structure of RbCd2GeSe4, with properties calculated at the PBE level.

Summary:
Formation energy (no corrections) (meV per atom): -534

Geometry as POSCAR:
```
RbCd2GeSe4
1.0
0.0000 5.1886 4.6367
5.1150 0.0000 4.6367
5.1150 5.1886 0.0000
Rb Cd Ge Se
1 2 1 4
Direct
0.0000 0.0000 0.0000
0.2495 0.2495 0.2505
0.7495 0.7495 0.7505
0.5045 0.5045 0.4955
0.1605 0.5455 0.4545
0.4613 0.8519 0.5387
0.5455 0.1605 0.8395
0.8519 0.4613 0.1481
```

(6)
Below is a relaxed structure of IrPt2Cl, with properties calculated at the PBE level.

Summary:
Distance to the lowest polymorph of the same formula (meV per atom): 425
Formation energy (no corrections) (meV per atom): 712

Geometry as POSCAR:
```
IrPt2Cl
1.0
2.7612 0.0000 0.0000
0.0000 4.6890 0.0000
0.0000 0.0000 4.9563
Ir Pt Cl
1 2 1
Direct
0.0000 0.0000 0.0000
0.0000 0.5000 0.5000
0.5000 0.0000 0.5000
0.5000 0.5000 0.0000
```

(7)
Below is a relaxed structure of Li4Hf, with properties calculated at the PBE level.

Summary:
DFT formation energy (eV/atom): 1.17

Geometry as POSCAR:
```
Li4Hf
1.0
5.4271 0.0000 0.0000
0.0000 5.4271 0.0000
0.0000 0.0000 5.4271
Li Hf
4 1
Direct
0.0000 0.0000 0.0000
0.0000 0.5000 0.5000
0.5000 0.0000 0.5000
0.5000 0.5000 0.0000
0.5000 0.5000 0.5000
```

(8)
Below is a relaxed structure of Mg7In4Ga, with properties calculated at the PBE level.

Summary:
DFT formation energy (eV/atom): 0.05

Geometry as POSCAR:
```
Mg7In4Ga
1.0
6.7831 -2.6093 0.0000
6.7831 2.6093 0.0000
-6.6927 0.0000 8.5825
Mg In Ga
7 4 1
Direct
0.0000 0.0000 0.0000
0.1604 0.1604 0.8786
0.2550 0.2550 0.6784
0.4312 0.4312 0.5760
0.5688 0.5688 0.4240
0.7450 0.7450 0.3216
0.8396 0.8396 0.1214
0.1241 0.1241 0.3339
0.2910 0.2910 0.2212
0.7090 0.7090 0.7788
0.8759 0.8759 0.6661
0.5000 0.5000 0.0000
```

(9)
Below is a relaxed structure of Li2In5Hg5, with properties calculated at the PBE level.

Summary:
DFT formation energy (eV/atom): -0.10
Distance to the lowest polymorph of the same formula (meV per atom): 0

Geometry as POSCAR:
```
Li2In5Hg5
1.0
5.0602 0.0000 0.0000
2.5022 7.6453 0.0000
2.2693 3.1890 7.5333
Li In Hg
2 5 5
Direct
0.1520 0.4872 0.2111
0.8480 0.5128 0.7889
0.3096 0.0126 0.3583
0.4061 0.2488 0.9366
0.5000 0.5000 0.5000
0.5939 0.7512 0.0634
0.6904 0.9874 0.6417
0.0000 0.0000 0.0000
0.0819 0.2442 0.6007
0.2521 0.6938 0.8087
0.7479 0.3062 0.1913
0.9181 0.7558 0.3993
```

Number 1: total energy -48.18 eV per formula unit. Number 2: total energy -48.07 eV per formula unit. Number 3: total energy -26.89 eV per formula unit. Number 4: total energy -27.57 eV per formula unit. Number 5: total energy -25.63 eV per formula unit. Number 6: total energy -19.94 eV per formula unit. Number 7: total energy -11.78 eV per formula unit. Number 8: total energy -24.59 eV per formula unit. Number 9: total energy -20.24 eV per formula unit.